Version one
A relaxed Zr6Pb2N crystal, computed with PBE.

Output
The value obtained for the volume is 188 Å³/f.u.

```
Zr6Pb2N
1.0
-2.262 -5.046 -2.917
5.721 -1.323 -2.148
1.715 -5.295 7.830
Zr Pb N
12 4 2
direct
0.731 0.778 0.000 Zr
0.500 0.500 0.247 Zr
0.778 0.269 0.000 Zr
0.269 0.222 0.000 Zr
0.500 0.500 0.753 Zr
0.222 0.731 0.000 Zr
0.278 0.231 0.500 Zr
0.000 0.000 0.747 Zr
0.769 0.278 0.500 Zr
0.722 0.769 0.500 Zr
0.000 0.000 0.253 Zr
0.231 0.722 0.500 Zr
0.500 0.000 0.750 Pb
0.000 0.500 0.750 Pb
0.500 0.000 0.250 Pb
0.000 0.500 0.250 Pb
0.000 0.000 0.500 N
0.500 0.500 0.000 N
```


Version two
A relaxed Zr6Pb2N crystal, computed with PBE.

Output
The value obtained for the volume is 196 Å³/f.u.

```
Zr6Pb2N
1.0
-3.282 -3.191 3.906
-2.874 -3.517 -5.289
6.976 -6.210 0.339
Zr Pb N
12 4 2
direct
0.110 0.009 0.746 Zr
0.610 0.491 0.246 Zr
0.349 0.790 0.029 Zr
0.890 0.991 0.254 Zr
0.390 0.509 0.754 Zr
0.651 0.210 0.971 Zr
0.164 0.323 0.024 Zr
0.836 0.677 0.976 Zr
0.336 0.823 0.476 Zr
0.664 0.177 0.524 Zr
0.849 0.710 0.529 Zr
0.151 0.290 0.471 Zr
0.087 0.597 0.255 Pb
0.413 0.097 0.245 Pb
0.913 0.403 0.745 Pb
0.587 0.903 0.755 Pb
0.500 0.500 0.000 N
0.000 0.000 0.500 N
```


Name the most stable of them. version one.